# 1
! CePa2Ga | the Alexandria database | GGA-PBE | relaxed; values from VASP
&SYSTEM
  ibrav = 0, nat = 4, ntyp = 3
/
ATOMIC_SPECIES
Pa 231.04 Pa.upf
Ga 69.72 Ga.upf
Ce 140.12 Ce.upf
ATOMIC_POSITIONS crystal
Pa 0.000 0.000 0.773
Pa 0.000 0.000 0.227
Ga 0.500 0.500 0.000
Ce 0.500 0.500 0.500
CELL_PARAMETERS angstrom
3.827 0.000 0.000
0.000 3.827 0.000
0.000 0.000 6.551
! crystal system = tetragonal
! mass density = 11.6 g/cm3
! formation energy from the elements = 24 meV/atom

# 2
! CePaGa | the Alexandria database | GGA-PBE | relaxed; values from VASP
&SYSTEM
  ibrav = 0, nat = 6, ntyp = 3
/
ATOMIC_SPECIES
Ce 140.12 Ce.upf
Pa 231.04 Pa.upf
Ga 69.72 Ga.upf
ATOMIC_POSITIONS crystal
Ce 0.782 0.218 0.420
Ce 0.218 0.782 0.580
Pa 0.275 0.725 0.925
Pa 0.725 0.275 0.075
Ga 0.748 0.252 0.755
Ga 0.252 0.748 0.245
CELL_PARAMETERS angstrom
3.793 -0.026 -0.126
-0.028 3.793 0.126
-0.316 0.316 9.700
! crystal system = monoclinic
! mass density = 10.5 g/cm3
! formation energy from the elements = -190 meV/atom

# 3
! CePa4Ga12 | the Alexandria database | GGA-PBE | relaxed; values from VASP
&SYSTEM
  ibrav = 0, nat = 17, ntyp = 3
/
ATOMIC_SPECIES
Ce 140.12 Ce.upf
Pa 231.04 Pa.upf
Ga 69.72 Ga.upf
ATOMIC_POSITIONS crystal
Ce 0.000 0.000 0.000
Pa 0.000 0.000 0.500
Pa 0.500 0.000 0.000
Pa 0.500 0.500 0.500
Pa 0.000 0.500 0.000
Ga 0.000 0.318 0.318
Ga 0.000 0.682 0.682
Ga 0.682 0.682 0.000
Ga 0.318 0.318 0.000
Ga 0.318 0.000 0.318
Ga 0.682 0.000 0.682
Ga 0.500 0.250 0.750
Ga 0.500 0.750 0.250
Ga 0.750 0.250 0.500
Ga 0.250 0.750 0.500
Ga 0.750 0.500 0.250
Ga 0.250 0.500 0.750
CELL_PARAMETERS angstrom
-3.167 -6.950 0.325
7.608 -0.678 -0.301
-1.958 3.986 6.222
! crystal system = cubic
! mass density = 9.2 g/cm3
! formation energy from the elements = -323 meV/atom

# 4
! CePa2Ga7 | the Alexandria database | GGA-PBE | relaxed; values from VASP
&SYSTEM
  ibrav = 0, nat = 10, ntyp = 3
/
ATOMIC_SPECIES
Ce 140.12 Ce.upf
Pa 231.04 Pa.upf
Ga 69.72 Ga.upf
ATOMIC_POSITIONS crystal
Ce 0.000 0.000 0.000
Pa 0.666 0.666 0.333
Pa 0.334 0.334 0.667
Ga 0.088 0.588 0.177
Ga 0.412 0.912 0.823
Ga 0.588 0.088 0.177
Ga 0.500 0.500 0.000
Ga 0.750 0.250 0.500
Ga 0.912 0.412 0.823
Ga 0.250 0.750 0.500
CELL_PARAMETERS angstrom
4.837 0.000 0.000
0.000 4.837 0.000
-2.418 -2.418 9.990
! crystal system = tetragonal
! mass density = 7.7 g/cm3
! formation energy from the elements = -7 meV/atom

# 5
! Ce2PaGa | the Alexandria database | GGA-PBE | relaxed; values from VASP
&SYSTEM
  ibrav = 0, nat = 4, ntyp = 3
/
ATOMIC_SPECIES
Pa 231.04 Pa.upf
Ga 69.72 Ga.upf
Ce 140.12 Ce.upf
ATOMIC_POSITIONS crystal
Pa 0.000 0.000 0.000
Ga 0.500 0.500 0.500
Ce 0.089 0.089 0.732
Ce 0.911 0.911 0.268
CELL_PARAMETERS angstrom
3.088 0.000 0.000
1.544 2.675 0.000
1.544 0.892 11.289
! crystal system = trigonal
! mass density = 10.3 g/cm3
! formation energy from the elements = -26 meV/atom

# 6
! CePaGa | the Alexandria database | GGA-PBE | relaxed; values from VASP
&SYSTEM
  ibrav = 0, nat = 6, ntyp = 3
/
ATOMIC_SPECIES
Pa 231.04 Pa.upf
Ce 140.12 Ce.upf
Ga 69.72 Ga.upf
ATOMIC_POSITIONS crystal
Pa 0.500 0.000 0.752
Pa 0.000 0.500 0.248
Ce 0.000 0.000 0.389
Ce 0.500 0.500 0.611
Ga 0.500 0.500 0.949
Ga 0.000 0.000 0.051
CELL_PARAMETERS angstrom
3.007 0.000 0.000
0.000 5.098 0.000
0.000 0.000 9.088
! crystal system = orthorhombic
! mass density = 10.5 g/cm3
! formation energy from the elements = 105 meV/atom